Computed, not measured: a relaxed BaTa2Au crystal at the GGA-PBE level of DFT.

Cell lengths 10.588, 10.588, 10.588 Å; angles 152.69, 152.69, 39.00 degrees
Fractional positions:
1 Ba 0.375 0.625 0.750
2 Ba 0.625 0.375 0.250
3 Ta 0.000 0.000 0.000
4 Ta 0.000 0.000 0.500
5 Ta 0.000 0.500 0.000
6 Ta 0.500 0.000 0.500
7 Au 0.125 0.875 0.250
8 Au 0.875 0.125 0.750

Calculated values
V = 31.17 Å³/atom
theoretical density = 9.3 g cm⁻³
spin magnetization = 0.000 Bohr magnetons per cell
energy of formation from the pure elements = 0.92 eV per atom

***

Computed, not measured: a relaxed AcNd2Sm2Ho2 crystal at the GGA-PBE level of DFT.

Cell lengths 6.343, 6.343, 8.202 Å; angles 97.49, 97.49, 48.37 degrees
Fractional positions:
1 Ac 0.000 0.000 0.000
2 Nd 0.426 0.426 0.291
3 Nd 0.574 0.574 0.709
4 Sm 0.286 0.286 0.849
5 Sm 0.714 0.714 0.151
6 Ho 0.143 0.143 0.434
7 Ho 0.857 0.857 0.566

Calculated values
V = 34.87 Å³/atom
theoretical density = 7.8 g cm⁻³
spin magnetization = 0.000 Bohr magnetons per cell
energy of formation from the pure elements = 0.03 eV per atom

***

Computed, not measured: a relaxed TlTcAs4 crystal at the GGA-PBE level of DFT.

Cell lengths 5.640, 5.640, 5.640 Å; angles 60.00, 60.00, 60.00 degrees
Fractional positions:
1 Tl 0.000 0.000 0.000
2 Tc 0.250 0.250 0.250
3 As 0.124 0.625 0.625
4 As 0.625 0.124 0.625
5 As 0.625 0.625 0.124
6 As 0.625 0.625 0.625

Calculated values
V = 21.15 Å³/atom
theoretical density = 7.9 g cm⁻³
spin magnetization = 3.274 Bohr magnetons per cell
energy of formation from the pure elements = 0.74 eV per atom

***

Computed, not measured: a relaxed SrP2Ru crystal at the GGA-PBE level of DFT.

Cell lengths 4.779, 4.779, 3.185 Å; angles 90.00, 90.00, 90.00 degrees
Fractional positions:
1 Sr 0.000 0.000 0.000
2 P 0.000 0.500 0.500
3 P 0.500 0.000 0.500
4 Ru 0.500 0.500 0.000

Calculated values
V = 18.18 Å³/atom
theoretical density = 5.7 g cm⁻³
spin magnetization = 0.000 Bohr magnetons per cell
energy of formation from the pure elements = 0.24 eV per atom

***

Computed, not measured: a relaxed Pa4Sb2C crystal at the GGA-PBE level of DFT.

Cell lengths 8.623, 8.623, 8.623 Å; angles 148.51, 148.51, 45.13 degrees
Fractional positions:
1 Pa 0.000 0.500 0.500
2 Pa 0.153 0.153 0.000
3 Pa 0.500 0.000 0.500
4 Pa 0.847 0.847 0.000
5 Sb 0.354 0.354 0.000
6 Sb 0.646 0.646 0.000
7 C 0.000 0.000 0.000

Calculated values
ΔE_f (raw) = -37.9 kJ/mol of atoms
V = 24.91 Å³/atom
theoretical density = 11.2 g cm⁻³
spin magnetization = 0.002 Bohr magnetons per cell

***

Computed, not measured: a relaxed LaHo4In crystal at the GGA-PBE level of DFT.

Cell lengths 3.599, 3.599, 14.234 Å; angles 90.00, 90.00, 90.00 degrees
Fractional positions:
1 La 0.000 0.000 0.000
2 Ho 0.000 0.000 0.355
3 Ho 0.000 0.000 0.645
4 Ho 0.500 0.500 0.182
5 Ho 0.500 0.500 0.818
6 In 0.500 0.500 0.500

Calculated values
V = 30.73 Å³/atom
theoretical density = 8.2 g cm⁻³
spin magnetization = 0.000 Bohr magnetons per cell
energy of formation from the pure elements = -0.14 eV per atom

***

Computed, not measured: a relaxed Pm4Te5H2 crystal at the GGA-PBE level of DFT.

Cell lengths 9.552, 9.552, 8.247 Å; angles 96.93, 96.93, 26.41 degrees
Fractional positions:
1 Pm 0.033 0.033 0.251
2 Pm 0.292 0.292 0.782
3 Pm 0.708 0.708 0.218
4 Pm 0.967 0.967 0.749
5 Te 0.137 0.137 0.955
6 Te 0.173 0.173 0.467
7 Te 0.500 0.500 0.500
8 Te 0.827 0.827 0.533
9 Te 0.863 0.863 0.045
10 H 0.418 0.418 0.795
11 H 0.582 0.582 0.205

Calculated values
calculated total energy = -53.4 eV per formula unit
V = 30.19 Å³/atom
theoretical density = 6.1 g cm⁻³
spin magnetization = 0.000 Bohr magnetons per cell

***

Computed, not measured: a relaxed LiSbRh2 crystal at the GGA-PBE level of DFT.

Cell lengths 4.928, 4.928, 4.466 Å; angles 105.96, 105.96, 36.59 degrees
Fractional positions:
1 Li 0.000 0.000 0.000
2 Sb 0.763 0.763 0.376
3 Rh 0.258 0.258 0.881
4 Rh 0.503 0.503 0.500

Calculated values
ΔE_f (raw) = -34.2 kJ/mol of atoms
V = 15.47 Å³/atom
theoretical density = 9.0 g cm⁻³
spin magnetization = 0.000 Bohr magnetons per cell